(1)
Compound: TbPmTe3
Source: the Alexandria database
Functional: GGA-PBE
Structure: relaxed

## Properties
DOS at the Fermi energy = 1.30 states/eV/cell
Space-group type = Pnma, No. 62
Final energy = -5.18 eV per atom
Excess energy over the best structure of this formula in the dataset = 0 meV/atom

a = 8.292 Å, b = 4.391 Å, c = 17.423 Å
α = 90.00°, β = 90.00°, γ = 90.00°
Sites, in units of the cell vectors:
Tb 0.228 0.250 0.041
Tb 0.272 0.750 0.541
Tb 0.728 0.250 0.459
Tb 0.772 0.750 0.959
Pm 0.134 0.750 0.299
Pm 0.366 0.250 0.799
Pm 0.634 0.750 0.201
Pm 0.866 0.250 0.701
Te 0.003 0.750 0.108
Te 0.117 0.250 0.435
Te 0.157 0.750 0.715
Te 0.343 0.250 0.215
Te 0.383 0.750 0.935
Te 0.497 0.250 0.608
Te 0.503 0.750 0.392
Te 0.617 0.250 0.065
Te 0.657 0.750 0.785
Te 0.843 0.250 0.285
Te 0.883 0.750 0.565
Te 0.997 0.250 0.892



(2)
Compound: La3Mn
Source: the Alexandria database
Functional: GGA-PBE
Structure: relaxed

## Properties
DOS at the Fermi energy = 14.77 states/eV/cell
Formation enthalpy at 0 K = 333 meV per atom
Space-group type = Pm-3n, No. 223
Final energy = -5.65 eV per atom

a = 6.289 Å, b = 6.289 Å, c = 6.289 Å
α = 90.00°, β = 90.00°, γ = 90.00°
Sites, in units of the cell vectors:
La 0.000 0.250 0.500
La 0.000 0.750 0.500
La 0.250 0.500 0.000
La 0.500 0.000 0.250
La 0.500 0.000 0.750
La 0.750 0.500 0.000
Mn 0.000 0.000 0.000
Mn 0.500 0.500 0.500



> Which of these has the lowest final energy?

La3Mn



> Which of these has the highest final energy?

TbPmTe3



> Which of these has the highest final energy?

TbPmTe3